Record 1
Density functional theory data (PBE) for crystalline AgGe6 at its relaxed geometry.

Calculated values
N(E_F)   0.3725 states/eV per atom
ΔE_f   0.354 eV/atom

Cell: 6.1026 6.1026 6.1026 Å, 109.47 109.47 109.47°
Closest atoms and distances in Å follow each position.
Fractional coordinates of all 7 atoms:
Ag1 0.0000 0.0000 0.0000  24 Ge 3.94
Ge1 0.2500 0.5000 0.7500  4 Ge 2.49
Ge2 0.2500 0.7500 0.5000  4 Ge 2.49
Ge3 0.5000 0.2500 0.7500  4 Ge 2.49
Ge4 0.5000 0.7500 0.2500  4 Ge 2.49
Ge5 0.7500 0.2500 0.5000  4 Ge 2.49
Ge6 0.7500 0.5000 0.2500  4 Ge 2.49

=====

Record 2
Density functional theory data (PBE) for crystalline Ag8Ge at its relaxed geometry.

Calculated values
N(E_F)   0.1670 states/eV per atom
ΔE_f   0.058 eV/atom

Cell: 6.6982 6.6982 6.6982 Å, 94.94 94.94 145.88°
Closest atoms and distances in Å follow each position.
Fractional coordinates of all 9 atoms:
Ag1 0.0000 0.3339 0.3339  11 Ag 2.90-3.02, 1 Ge 3.02
Ag2 0.0000 0.6661 0.6661  11 Ag 2.90-3.02, 1 Ge 3.02
Ag3 0.3339 0.0000 0.3339  11 Ag 2.90-3.02, 1 Ge 3.02
Ag4 0.3339 0.3339 0.6679  2 Ge 2.90, 10 Ag 2.90-3.02
Ag5 0.3339 0.6661 0.0000  2 Ge 2.90, 10 Ag 2.90-3.02
Ag6 0.6661 0.0000 0.6661  11 Ag 2.90-3.02, 1 Ge 3.02
Ag7 0.6661 0.3339 0.0000  2 Ge 2.90, 10 Ag 2.90-3.02
Ag8 0.6661 0.6661 0.3321  2 Ge 2.90, 10 Ag 2.90-3.02
Ge1 0.0000 0.0000 0.0000  12 Ag 2.90-3.02

=====

Record 3
Density functional theory data (PBE) for crystalline AgGe3 at its relaxed geometry.

Calculated values
N(E_F)   0.2999 states/eV per atom
ΔE_f   0.279 eV/atom

Cell: 5.1177 5.1177 5.1177 Å, 130.10 130.10 73.25°
Closest atoms and distances in Å follow each position.
Fractional coordinates of all 4 atoms:
Ag1 0.0000 0.0000 0.0000  12 Ge 2.98-3.05
Ge1 0.2500 0.7500 0.5000  8 Ge 2.98-3.05, 4 Ag 2.98
Ge2 0.5000 0.5000 0.0000  8 Ge 2.98, 4 Ag 3.05
Ge3 0.7500 0.2500 0.5000  8 Ge 2.98-3.05, 4 Ag 2.98

=====

Record 4
Density functional theory data (PBE) for crystalline AgGe at its relaxed geometry.

Calculated values
N(E_F)   0.5698 states/eV per atom
ΔE_f   0.431 eV/atom

Cell: 4.6206 4.6206 5.2368 Å, 90.00 90.00 120.00°
Closest atoms and distances in Å follow each position.
Fractional coordinates of all 4 atoms:
Ag1 0.3333 0.6667 0.2500  5 Ge 2.62-2.67
Ag2 0.6667 0.3333 0.7500  5 Ge 2.62-2.67
Ge1 0.3333 0.6667 0.7500  5 Ag 2.62-2.67
Ge2 0.6667 0.3333 0.2500  5 Ag 2.62-2.67

=====

Record 5
Density functional theory data (PBE) for crystalline AgGe4 at its relaxed geometry.

Calculated values
N(E_F)   0.8512 states/eV per atom
ΔE_f   0.830 eV/atom

Cell: 4.9861 4.9861 4.9861 Å, 90.00 90.00 90.00°
Closest atoms and distances in Å follow each position.
Fractional coordinates of all 5 atoms:
Ag1 0.0000 0.0000 0.0000  6 Ge 2.49
Ge1 0.0000 0.0000 0.5000  2 Ag 2.49
Ge2 0.0000 0.5000 0.0000  2 Ag 2.49
Ge3 0.5000 0.0000 0.0000  2 Ag 2.49
Ge4 0.5000 0.5000 0.5000  12 Ge 3.53

=====

Record 6
Density functional theory data (PBE) for crystalline Ag3Ge at its relaxed geometry.

Calculated values
N(E_F)   0.5681 states/eV per atom
ΔE_f   0.123 eV/atom

Cell: 4.1556 4.1556 4.1556 Å, 90.00 90.00 90.00°
Closest atoms and distances in Å follow each position.
Fractional coordinates of all 4 atoms:
Ag1 0.0000 0.0000 0.5000  4 Ge 2.94, 8 Ag 2.94
Ag2 0.0000 0.5000 0.0000  4 Ge 2.94, 8 Ag 2.94
Ag3 0.5000 0.0000 0.0000  4 Ge 2.94, 8 Ag 2.94
Ge1 0.5000 0.5000 0.5000  12 Ag 2.94

=====

Record 7
Density functional theory data (PBE) for crystalline Ag3Ge2 at its relaxed geometry.

Calculated values
N(E_F)   0.3111 states/eV per atom
ΔE_f   0.226 eV/atom

Cell: 5.7747 5.7747 5.7747 Å, 85.37 85.37 85.37°
Closest atoms and distances in Å follow each position.
Fractional coordinates of all 10 atoms:
Ag1 0.0627 0.7500 0.4373  4 Ge 2.72-2.82, 2 Ag 3.05
Ag2 0.2500 0.5627 0.9373  4 Ge 2.72-2.82, 2 Ag 3.05
Ag3 0.4373 0.0627 0.7500  4 Ge 2.72-2.82, 2 Ag 3.05
Ag4 0.5627 0.9373 0.2500  4 Ge 2.72-2.82, 2 Ag 3.05
Ag5 0.7500 0.4373 0.0627  4 Ge 2.72-2.82, 2 Ag 3.05
Ag6 0.9373 0.2500 0.5627  4 Ge 2.72-2.82, 2 Ag 3.05
Ge1 0.1205 0.1205 0.1205  2 Ge 2.60-2.79, 6 Ag 2.72-2.82
Ge2 0.3795 0.3795 0.3795  2 Ge 2.60-2.79, 6 Ag 2.72-2.82
Ge3 0.6205 0.6205 0.6205  2 Ge 2.60-2.79, 6 Ag 2.72-2.82
Ge4 0.8795 0.8795 0.8795  2 Ge 2.60-2.79, 6 Ag 2.72-2.82

=====

Record 8
Density functional theory data (PBE) for crystalline AgGe at its relaxed geometry.

Calculated values
N(E_F)   0.2337 states/eV per atom
ΔE_f   0.190 eV/atom

Cell: 2.9803 4.3864 5.6527 Å, 90.00 91.47 90.00°
Closest atoms and distances in Å follow each position.
Fractional coordinates of all 4 atoms:
Ag1 0.2441 0.2500 0.3760  6 Ge 2.81-3.00, 6 Ag 2.98-3.00
Ag2 0.7559 0.7500 0.6240  6 Ge 2.81-3.00, 6 Ag 2.98-3.00
Ge1 0.2660 0.2500 0.8731  6 Ag 2.81-3.00, 6 Ge 2.95-3.08
Ge2 0.7340 0.7500 0.1269  6 Ag 2.81-3.00, 6 Ge 2.95-3.08